Record 1
TiMn2BeZn: relaxed, GGA-PBE.

Geometry as CIF:
```
data_TiMn2BeZn
_chemical_formula_sum 'Ti1 Mn2 Be1 Zn1'
_cell_length_a 3.999
_cell_length_b 3.999
_cell_length_c 3.909
_cell_angle_alpha 90.00
_cell_angle_beta 90.00
_cell_angle_gamma 90.00
_space_group_name_H-M_alt 'P 4/m m m'
_space_group_IT_number 123
_space_group_name_Hall '-P 4 2'
loop_
_atom_site_label
_atom_site_fract_x
_atom_site_fract_y
_atom_site_fract_z
Ti1 0.000 0.000 0.000
Mn1 0.000 0.500 0.500
Be1 0.500 0.500 0.500
Zn1 0.500 0.500 0.000
```

Properties
Energy relative to the elements = 341 meV per atom

Record 2
Mn2BeTl: relaxed, GGA-PBE.

Geometry as CIF:
```
data_Mn2BeTl
_chemical_formula_sum 'Mn4 Be2 Tl2'
_cell_length_a 3.150
_cell_length_b 4.300
_cell_length_c 8.847
_cell_angle_alpha 90.00
_cell_angle_beta 90.00
_cell_angle_gamma 90.00
_space_group_name_H-M_alt 'I m m 2'
_space_group_IT_number 44
_space_group_name_Hall 'I 2 -2'
loop_
_atom_site_label
_atom_site_fract_x
_atom_site_fract_y
_atom_site_fract_z
Mn1 0.000 0.000 0.000
Mn2 0.000 0.500 0.229
Be1 0.000 0.000 0.519
Tl1 0.000 0.500 0.780
```

Properties
Energy relative to the elements = 523 meV per atom
Excess energy over the best structure of this formula in the dataset = 153 meV/atom